Record 1
Entry from Alexandria via LeMat-Bulk: crystalline ZrRe2Ru at its relaxed geometry (PBE).

Total moment in μB per formula unit: 0.0
V in Å³ per cell: 65
Energy relative to the lowest polymorph listed for this composition in meV per atom: 66
Formation energy in eV per atom: 0.037

The structure in POSCAR format:
```
ZrRe2Ru
1.0
2.855 0.000 0.000
0.000 4.462 0.000
-0.676 0.000 5.105
Zr Re Ru
1 2 1
Cartesian
0.000 0.000 0.000 Zr
0.858 0.000 2.547 Re
1.932 2.231 1.636 Re
0.580 2.231 4.088 Ru
```

=====

Record 2
Entry from Alexandria via LeMat-Bulk: crystalline CsAl2Re at its relaxed geometry (PBE).

Total moment in μB per formula unit: 0.0
V in Å³ per cell: 636
Formation energy in eV per atom: 0.833

The structure in POSCAR format:
```
CsAl2Re
1.0
6.838 0.000 0.000
0.000 6.838 0.000
0.000 0.000 13.601
Cs Al Re
4 8 4
Cartesian
0.000 1.709 5.101 Cs
0.000 5.128 8.501 Cs
3.419 1.709 1.700 Cs
3.419 5.128 11.901 Cs
0.000 0.000 0.000 Al
0.000 3.419 0.000 Al
1.709 1.709 10.201 Al
1.709 5.128 3.400 Al
3.419 0.000 6.801 Al
3.419 3.419 6.801 Al
5.128 1.709 10.201 Al
5.128 5.128 3.400 Al
0.000 1.709 11.901 Re
0.000 5.128 1.700 Re
3.419 1.709 8.501 Re
3.419 5.128 5.101 Re
```

=====

Record 3
Entry from Alexandria via LeMat-Bulk: crystalline RbPa6Se8 at its relaxed geometry (PBE).

E_form (uncorrected) in eV/atom: -1.00
Total moment in μB per formula unit: 2.9
V in Å³ per cell: 480

The structure in POSCAR format:
```
RbPa6Se8
1.0
5.542 3.200 4.509
-5.542 3.200 4.509
0.000 -6.399 4.509
Rb Pa Se
1 6 8
Cartesian
0.000 0.000 0.000 Rb
-2.035 -0.174 5.718 Pa
-0.866 -1.849 7.809 Pa
1.168 -1.675 5.718 Pa
-1.168 1.675 7.809 Pa
0.866 1.849 5.718 Pa
2.035 0.174 7.809 Pa
-1.487 -3.115 5.313 Se
0.000 0.000 3.710 Se
-3.441 -0.270 8.214 Se
-1.954 2.845 5.313 Se
1.954 -2.845 8.214 Se
3.441 0.270 5.313 Se
0.000 0.000 9.816 Se
1.487 3.114 8.214 Se
```

=====

Record 4
Entry from Alexandria via LeMat-Bulk: crystalline Hg2MoCl at its relaxed geometry (PBE).

E_form (uncorrected) in eV/atom: 0.39
Total moment in μB per formula unit: 0.0
V in Å³ per cell: 246
Energy relative to the lowest polymorph listed for this composition in meV per atom: 219

The structure in POSCAR format:
```
Hg2MoCl
1.0
3.265 0.000 0.000
-1.632 2.828 0.000
0.000 0.000 26.688
Hg Mo Cl
6 3 3
Cartesian
0.000 0.000 6.621 Hg
0.000 0.000 20.066 Hg
0.000 1.885 11.170 Hg
0.000 1.885 24.413 Hg
1.632 0.943 2.274 Hg
1.632 0.943 15.517 Hg
0.000 0.000 13.344 Mo
0.000 1.885 4.448 Mo
1.632 0.943 22.240 Mo
0.000 0.000 0.000 Cl
0.000 1.885 17.792 Cl
1.632 0.943 8.896 Cl
```

=====

Record 5
Entry from Alexandria via LeMat-Bulk: crystalline Dy3Sc4Pb4 at its relaxed geometry (PBE).

Total moment in μB per formula unit: 2.2
V in Å³ per cell: 303
Formation energy in eV per atom: -0.361

The structure in POSCAR format:
```
Dy3Sc4Pb4
1.0
-2.114 4.506 7.960
2.114 -4.506 7.960
2.114 4.506 -7.960
Dy Sc Pb
3 4 4
Cartesian
0.000 0.000 0.000 Dy
2.114 0.000 6.138 Dy
0.000 4.506 1.821 Dy
2.114 1.798 -2.785 Sc
2.114 1.798 2.785 Sc
0.000 2.708 5.175 Sc
0.000 2.708 10.745 Sc
0.000 0.000 3.734 Pb
2.114 2.606 0.000 Pb
0.000 1.900 7.960 Pb
0.000 0.000 12.186 Pb
```

=====

Record 6
Entry from Alexandria via LeMat-Bulk: crystalline LiIrPt at its relaxed geometry (PBE).

Total moment in μB per formula unit: 0.0
V in Å³ per cell: 85
Energy relative to the lowest polymorph listed for this composition in meV per atom: 61
Formation energy in eV per atom: -0.112

The structure in POSCAR format:
```
LiIrPt
1.0
2.703 0.000 0.000
0.000 3.969 0.000
0.000 0.000 7.895
Li Ir Pt
2 2 2
Cartesian
0.000 0.000 0.000 Li
1.352 1.985 3.948 Li
0.000 0.000 2.623 Ir
1.352 1.985 6.571 Ir
0.000 0.000 5.268 Pt
1.352 1.985 1.321 Pt
```

=====

Record 7
Entry from Alexandria via LeMat-Bulk: crystalline TlCu2SnTe4 at its relaxed geometry (PBE).

E_form (uncorrected) in eV/atom: -0.04
Total moment in μB per formula unit: 0.0
V in Å³ per cell: 493

The structure in POSCAR format:
```
TlCu2SnTe4
1.0
7.264 0.000 0.000
0.000 7.608 0.000
0.000 0.000 8.915
Tl Cu Sn Te
2 4 2 8
Cartesian
0.000 0.000 0.000 Tl
3.632 3.804 4.458 Tl
0.000 3.804 1.506 Cu
0.000 3.804 7.409 Cu
3.632 0.000 2.951 Cu
3.632 0.000 5.964 Cu
0.000 0.000 4.458 Sn
3.632 3.804 0.000 Sn
1.681 1.622 2.901 Te
1.681 5.986 6.014 Te
1.951 2.182 7.359 Te
1.951 5.426 1.557 Te
5.313 2.182 1.557 Te
5.313 5.426 7.359 Te
5.583 1.622 6.014 Te
5.583 5.986 2.901 Te
```

=====

Record 8
Entry from Alexandria via LeMat-Bulk: crystalline SrSn2SbS at its relaxed geometry (PBE).

E_form (uncorrected) in eV/atom: 0.08
Total moment in μB per formula unit: 0.0
V in Å³ per cell: 173

The structure in POSCAR format:
```
SrSn2SbS
1.0
5.753 0.000 0.000
0.000 5.753 0.000
0.000 0.000 5.240
Sr Sn Sb S
1 2 1 1
Cartesian
0.000 0.000 0.000 Sr
0.000 2.877 2.620 Sn
2.877 0.000 2.620 Sn
2.877 2.877 2.620 Sb
2.877 2.877 0.000 S
```

=====

Record 9
Entry from Alexandria via LeMat-Bulk: crystalline PrMg2Bi at its relaxed geometry (PBE).

Total moment in μB per formula unit: 0.0
V in Å³ per cell: 360
Energy relative to the lowest polymorph listed for this composition in meV per atom: 530
Formation energy in eV per atom: 0.138

The structure in POSCAR format:
```
PrMg2Bi
1.0
3.442 0.000 0.000
-1.721 2.981 0.000
0.000 0.000 35.042
Pr Mg Bi
3 6 3
Cartesian
0.000 0.000 0.000 Pr
0.000 1.987 23.361 Pr
1.721 0.994 11.681 Pr
0.000 0.000 3.229 Mg
0.000 0.000 31.813 Mg
0.000 1.987 20.132 Mg
0.000 1.987 26.591 Mg
1.721 0.994 8.451 Mg
1.721 0.994 14.910 Mg
0.000 0.000 17.521 Bi
0.000 1.987 5.840 Bi
1.721 0.994 29.202 Bi
```

=====

Record 10
Entry from Alexandria via LeMat-Bulk: crystalline BaTmIn4O8 at its relaxed geometry (PBE).

E_form (uncorrected) in eV/atom: -1.97
Total moment in μB per formula unit: 0.0
V in Å³ per cell: 225

The structure in POSCAR format:
```
BaTmIn4O8
1.0
3.408 1.967 5.592
-3.408 1.967 5.592
0.000 -3.935 5.592
Ba Tm In O
1 1 4 8
Cartesian
0.000 0.000 0.000 Ba
0.000 0.000 10.505 Tm
-1.723 -0.995 7.670 In
0.000 0.000 4.176 In
1.723 -0.995 7.670 In
0.000 1.990 7.670 In
0.000 -1.809 8.999 O
-1.567 0.904 8.999 O
0.000 0.000 6.518 O
-1.407 -0.812 11.992 O
1.567 0.904 8.999 O
1.407 -0.812 11.992 O
0.000 1.625 11.992 O
0.000 0.000 14.298 O
```

=====

Record 11
Entry from Alexandria via LeMat-Bulk: crystalline EuCuSn at its relaxed geometry (PBE).

Total moment in μB per formula unit: 7.3
V in Å³ per cell: 144
Formation energy in eV per atom: -0.212

The structure in POSCAR format:
```
EuCuSn
1.0
3.536 0.000 0.000
0.000 3.536 0.000
0.000 0.000 11.475
Eu Cu Sn
2 2 2
Cartesian
0.000 0.000 0.000 Eu
1.768 1.768 5.737 Eu
0.000 0.000 3.684 Cu
1.768 1.768 9.421 Cu
0.000 0.000 8.139 Sn
1.768 1.768 2.402 Sn
```

=====

Record 12
Entry from Alexandria via LeMat-Bulk: crystalline Y3Er4Sn4 at its relaxed geometry (PBE).

Total moment in μB per formula unit: 2.2
V in Å³ per cell: 323
Formation energy in eV per atom: -0.519

The structure in POSCAR format:
```
Y3Er4Sn4
1.0
-2.039 4.629 8.549
2.039 -4.629 8.549
2.039 4.629 -8.549
Y Er Sn
3 4 4
Cartesian
0.000 0.000 0.000 Y
2.039 0.000 6.749 Y
0.000 4.629 1.800 Y
2.039 1.786 -2.913 Er
2.039 1.786 2.913 Er
0.000 2.844 5.636 Er
0.000 2.844 11.462 Er
0.000 0.000 4.367 Sn
2.039 2.661 0.000 Sn
0.000 1.969 8.549 Sn
0.000 0.000 12.731 Sn
```

=====

- Look up the total moment of the twelfth one.
  2.2 μB per formula unit